! LiNiH5Pd2 (PBE, relaxed); values from VASP
&SYSTEM
  ibrav = 0, nat = 9, ntyp = 4
/
ATOMIC_SPECIES
Pd 106.42 Pd.upf
H 1.01 H.upf
Li 6.94 Li.upf
Ni 58.69 Ni.upf
ATOMIC_POSITIONS angstrom
Pd -1.508 -0.957 1.105
Pd -3.644 0.970 0.710
H -1.885 1.183 0.820
H -3.533 1.943 -0.770
H 0.000 0.000 0.000
H -1.620 -1.930 2.586
H -3.267 -1.170 0.996
Li -1.589 0.733 -1.533
Ni -0.226 1.398 0.902
CELL_PARAMETERS angstrom
-0.452 2.797 1.805
-3.177 1.465 -3.066
-1.524 -4.249 3.078
! - space group = Immm (71)
! - total energy (eV per atom) = -4.02
! - total moment (μB/f.u.) = 0.000



! CuSiNi2 (PBE, relaxed); values from VASP
&SYSTEM
  ibrav = 0, nat = 4, ntyp = 3
/
ATOMIC_SPECIES
Ni 58.69 Ni.upf
Si 28.09 Si.upf
Cu 63.55 Cu.upf
ATOMIC_POSITIONS angstrom
Ni 0.000 0.332 3.942
Ni 2.025 0.329 1.333
Si 0.000 1.638 1.818
Cu 2.025 1.639 3.418
CELL_PARAMETERS angstrom
4.050 0.000 0.000
0.000 2.615 -0.004
0.000 0.006 4.207
! - space group = Pmm2 (25)
! - total energy (eV per atom) = -5.57
! - total moment (μB/f.u.) = 0.000
! - formation energy without anion corrections (meV per atom) = -295.2



! Sc2AlFe3 (PBE, relaxed); values from VASP
&SYSTEM
  ibrav = 0, nat = 12, ntyp = 3
/
ATOMIC_SPECIES
Al 26.98 Al.upf
Fe 55.84 Fe.upf
Sc 44.96 Sc.upf
ATOMIC_POSITIONS angstrom
Al 2.529 -0.787 3.066
Al 0.000 0.000 0.000
Fe 1.161 -4.087 0.670
Fe 1.177 -3.427 6.182
Fe 0.866 -1.189 7.013
Fe -0.600 -3.621 2.243
Fe 0.851 -1.849 1.501
Fe 2.628 -1.655 5.440
Sc 2.066 -3.682 3.405
Sc 3.934 -4.264 5.670
Sc -0.038 -1.594 4.277
Sc -1.907 -1.012 2.013
CELL_PARAMETERS angstrom
-3.680 0.974 3.286
0.649 -4.675 -1.736
5.059 -1.575 6.133
! - space group = P6_3/mmc (194)
! - total energy (eV per atom) = -7.31
! - total moment (μB/f.u.) = 3.760
! - energy of formation from the pure elements (eV/atom) = -0.340



Q: Number 1 is which compound?
A: LiNiH5Pd2



Q: Among the records above, which one has the lowest total energy?
A: Sc2AlFe3